Entry 1:
TbCd4Cu: optimized geometry, PBE.

extended XYZ file:
```
12
Lattice="-5.0480 -0.9317 0.7424 1.0694 -6.7756 -1.2322 3.2476 2.7269 7.5326" Properties=species:S:1:pos:R:3 pbc="T T T"
Cd 0.8663 -5.4886 -0.9981
Cu 2.4180 -0.9103 7.1041
Cd 1.2467 -2.7005 5.2306
Cu -3.1490 -4.0701 -0.0613
Tb 0.5215 -0.4579 2.9704
Cd -1.3971 -5.9587 1.1432
Cd -1.9777 -2.2799 1.8122
Cd 0.9377 -3.7621 1.7920
Cd 0.6661 0.9783 5.8996
Tb -1.2525 -4.5225 4.0724
Cd -1.6688 -1.2183 5.2508
Cd 0.2031 -1.2870 -0.2340
```

Output
Formation enthalpy at 0 K ... -0.0939 eV/atom
V ... 270.41 Å³ per cell



Entry 2:
CaTmCuNi: optimized geometry, PBE.

extended XYZ file:
```
4
Lattice="-1.8773 2.5611 -3.6351 -1.6236 -2.2487 -3.9503 -4.7398 -0.1916 -0.8917" Properties=species:S:1:pos:R:3 pbc="T T T"
Ni -6.1805 0.0906 -6.3579
Cu -2.0602 0.0302 -2.1193
Tm 0.0000 0.0000 0.0000
Ca -4.1203 0.0604 -4.2386
```

Output
Formation enthalpy at 0 K ... -0.1666 eV/atom
V ... 79.52 Å³ per cell



Entry 3:
LaBeAgAu2: optimized geometry, PBE.

extended XYZ file:
```
5
Lattice="-1.5093 -3.9634 -2.0004 3.4779 -2.3688 2.0692 -2.7297 -0.8088 3.6622" Properties=species:S:1:pos:R:3 pbc="T T T"
Au -0.7547 -1.9817 -1.0002
La -0.3806 -3.5705 1.8655
Ag -1.3649 -0.4044 1.8311
Be 0.0000 0.0000 0.0000
Au 1.7390 -1.1844 1.0346
```

Output
Formation enthalpy at 0 K ... -0.3707 eV/atom
V ... 102.00 Å³ per cell



Entry 4:
Ca5C4: optimized geometry, PBE.

extended XYZ file:
```
9
Lattice="-4.3503 4.3503 2.3968 4.3503 -4.3503 2.3968 4.3503 4.3503 -2.3968" Properties=species:S:1:pos:R:3 pbc="T T T"
Ca 1.6903 1.6903 2.3968
C 0.0000 2.2652 0.0000
Ca 2.6600 2.6600 0.0000
C 2.2652 0.0000 0.0000
Ca 1.6903 -1.6903 2.3968
C 6.4354 0.0000 0.0000
C 0.0000 6.4354 0.0000
Ca 0.0000 0.0000 0.0000
Ca -1.6903 1.6903 2.3968
```

Output
Formation enthalpy at 0 K ... 1.4850 eV/atom
V ... 181.44 Å³ per cell



Entry 5:
LaTb3Ho: optimized geometry, PBE.

extended XYZ file:
```
10
Lattice="3.6574 0.0032 0.0000 -1.8339 8.3805 0.0000 0.0000 0.0000 11.6963" Properties=species:S:1:pos:R:3 pbc="T T T"
La 0.9193 0.9440 2.9241
Tb 2.7419 1.6439 5.8773
Tb 0.9088 1.8280 8.7722
Tb 0.9146 6.5557 2.9241
Tb 2.7419 1.6439 11.6671
Tb -0.9185 6.7398 5.8190
Tb -0.9185 6.7398 0.0292
La 0.9042 7.4397 8.7722
Ho -0.9270 4.5437 8.7722
Ho 2.7504 3.8400 2.9241
```

Output
Formation enthalpy at 0 K ... 0.3367 eV/atom
V ... 358.57 Å³ per cell



Entry 6:
Cu2HgTe: optimized geometry, PBE.

extended XYZ file:
```
4
Lattice="-1.3817 3.2298 0.1616 -1.0745 -0.7681 -3.2592 -5.3042 -2.3848 2.3108" Properties=species:S:1:pos:R:3 pbc="T T T"
Cu -2.4945 -1.1216 1.0868
Te -5.2063 -0.5578 0.1844
Cu -0.1576 -0.0709 0.0687
Hg -2.5542 0.6346 -0.9711
```

Output
Energy relative to the elements, uncorrected ... 303.7 meV/atom
V ... 76.80 Å³ per cell



Entry 7:
BaBeIn2Re: optimized geometry, PBE.

extended XYZ file:
```
5
Lattice="-5.7058 1.9284 -1.4149 1.2485 -0.7202 -6.0166 -1.7058 -4.8786 0.2300" Properties=species:S:1:pos:R:3 pbc="T T T"
Re -3.0816 -1.8352 -3.6007
In -2.8529 0.9642 -0.7074
Be -0.8529 -2.4393 0.1150
In 0.6243 -0.3601 -3.0083
Ba 0.0000 0.0000 0.0000
```

Output
Formation enthalpy at 0 K ... 2.4301 eV/atom
V ... 198.02 Å³ per cell



Entry 8:
Th4GaSeS2: optimized geometry, PBE.

extended XYZ file:
```
8
Lattice="4.2151 0.0000 0.0000 0.0000 7.1332 -0.0775 0.0000 2.5729 6.7669" Properties=species:S:1:pos:R:3 pbc="T T T"
Th 2.1076 3.6220 5.0555
Th 2.1076 6.0841 1.6339
Th 4.2151 2.3480 1.7388
Ga 0.0000 4.8530 3.3447
S 2.1075 1.2864 3.3834
S 0.0000 2.5729 6.7669
Th 0.0001 7.3581 4.9505
Se 2.1075 3.5666 -0.0388
```

Output
Energy relative to the elements, uncorrected ... -1400.6 meV/atom
V ... 204.30 Å³ per cell



Entry 9:
TbPm2Pr6Y3: optimized geometry, PBE.

extended XYZ file:
```
12
Lattice="-2.2618 1.8568 5.6398 -4.0028 -1.8135 -4.5890 2.6609 -11.1678 3.5544" Properties=species:S:1:pos:R:3 pbc="T T T"
Pr -1.1887 -3.4053 -0.5456
Pr -2.4150 -7.7192 5.1508
Tb 0.0000 0.0000 0.0000
Pr 0.4318 -8.3475 2.9218
Pm -2.8422 0.6332 2.2297
Y -2.3823 -6.7859 -1.1074
Pr -2.9943 -8.9403 1.7479
Y -1.8019 -5.5623 2.3026
Y -1.2214 -4.3386 5.7126
Pr -4.0355 -2.7770 1.6834
Pr -0.6095 -2.1842 2.8573
Pm -3.4224 -0.5899 -1.1789
```

Output
Formation enthalpy at 0 K ... 0.0089 eV/atom
V ... 413.57 Å³ per cell



Entry 10:
Sc2MoP: optimized geometry, PBE.

extended XYZ file:
```
4
Lattice="-1.9167 2.1894 4.0367 1.9167 -2.1894 4.0367 1.9167 2.1894 -4.0367" Properties=species:S:1:pos:R:3 pbc="T T T"
Sc 0.0000 0.0000 6.1392
Sc 0.0000 0.0000 1.9342
P 1.9167 0.0000 0.0000
Mo 0.0000 2.1894 0.0000
```

Output
Formation enthalpy at 0 K ... -0.2733 eV/atom
V ... 67.76 Å³ per cell



Entry 11:
TbZnGa2Cu: optimized geometry, PBE.

extended XYZ file:
```
5
Lattice="-0.4545 -3.9153 1.2564 2.8335 0.6178 2.9502 -4.9603 3.1479 1.2044" Properties=species:S:1:pos:R:3 pbc="T T T"
Cu -0.4686 1.0585 3.1290
Ga -2.8901 1.1490 2.5351
Tb 0.0000 0.0000 0.0000
Zn -2.1127 -1.2080 2.2820
Ga 0.3088 -1.2986 2.8759
```

Output
Formation enthalpy at 0 K ... -0.4390 eV/atom
V ... 89.60 Å³ per cell



Entry 12:
AcLaIr: optimized geometry, PBE.

extended XYZ file:
```
3
Lattice="6.8272 0.0000 0.0000 0.0000 4.3333 0.0000 0.0000 -2.1666 3.7527" Properties=species:S:1:pos:R:3 pbc="T T T"
La 5.3355 2.1666 1.2509
Ac 1.5520 0.0000 2.5018
Ir 6.7668 0.0000 0.0000
```

Output
Formation enthalpy at 0 K ... -0.6014 eV/atom
V ... 111.02 Å³ per cell



Among the records above, which one has the lowest V?
Sc2MoP



Which value of V does entry 5 give?
358.57 Å³ per cell



V of number 11 (TbZnGa2Cu)?
89.60 Å³ per cell



Which of these has the highest V?
TbPm2Pr6Y3